Material: TaAlTc
Method: DFT, PBE
State: optimized geometry

Cell lengths 6.903, 6.693, 2.816 Å; angles 82.26, 73.89, 23.84 degrees
Fractional coordinates of all 3 atoms:
Ta  0.000  0.000  0.000
Al  0.324  0.324  0.676
Tc  0.665  0.665  0.335

Values from the calculation:
energy above the lowest structure with this stoichiometry: 0.1759 eV per atom
space-group type: Fmm2 (42)
DOS(E_F): 0.563 states/eV/atom
crystal system: orthorhombic